# 1
The following is a DFT calculation (PBE) of an optimized crystal structure of LaCoCuH2.

Cell: 4.138 4.138 5.699 Å, 90.00 90.00 90.00°
Fractional positions:
La  0.000  0.000  0.000
Co  0.500  0.500  0.500
Cu  0.000  0.000  0.500
H  0.000  0.500  0.000
H  0.500  0.000  0.000

## Properties
**Total magnetic moment**: 1.9 μB per formula unit
**N(E_F)**: 7.37 states/eV/f.u.
**Electronic total energy**: -19.1 eV/cell

---

# 2
The following is a DFT calculation (PBE) of an optimized crystal structure of CsLa6Se8.

Cell: 11.713 11.713 4.394 Å, 90.00 90.00 120.00°
Fractional positions:
Cs  0.000  0.000  0.000
La  0.141  0.478  0.252
La  0.337  0.859  0.252
La  0.478  0.337  0.748
La  0.522  0.663  0.252
La  0.663  0.141  0.748
La  0.859  0.522  0.748
Se  0.045  0.683  0.248
Se  0.317  0.362  0.248
Se  0.333  0.667  0.752
Se  0.362  0.045  0.752
Se  0.638  0.955  0.248
Se  0.667  0.333  0.248
Se  0.683  0.638  0.752
Se  0.955  0.317  0.752

## Properties
**Energy relative to the elements, uncorrected**: -1.843 eV/atom
**Total magnetic moment**: 1.1 μB per formula unit
**N(E_F)**: 9.83 states/eV/f.u.

---

- Among the records above, which one has the highest total magnetic moment?
  LaCoCuH2

---

- Number 1 is which compound?
  LaCoCuH2

---

- The lowest N(E_F) belongs to which entry?
  LaCoCuH2

---

- Which value of total magnetic moment does entry 1 give?
  1.9 μB per formula unit